Pr2Zn5Cu12 after structural relaxation, computed with PBE.

```
Pr2Zn5Cu12
1.0
-3.869 2.246 -4.880
-1.136 -5.855 -2.875
-5.798 -1.226 2.953
Zn Cu Pr
5 12 2
direct
0.000 0.500 0.000
0.000 0.000 0.500
0.500 0.000 0.000
0.901 0.901 0.901
0.099 0.099 0.099
0.655 0.655 0.153
0.345 0.847 0.345
0.298 0.702 0.000
0.847 0.345 0.345
0.345 0.345 0.847
0.702 0.298 0.000
0.702 0.000 0.298
0.153 0.655 0.655
0.655 0.153 0.655
0.000 0.298 0.702
0.298 0.000 0.702
0.000 0.702 0.298
0.649 0.649 0.649
0.351 0.351 0.351
```

calculated formation energy = -3.30 kcal/mol of atoms
volume = 14.97 Å³ per atom